Record 1
DFT (PBE) results for a geometry-optimized Pr6Si2GeI3 structure.

Unit cell a=4.375 b=9.266 c=10.256 alpha=107.64 beta=102.32 gamma=90.00
Sites, in units of the cell vectors:
1 Pr 0.657 0.116 0.314
2 Pr 0.322 0.444 0.643
3 Pr 0.013 0.225 0.025
4 Pr 0.987 0.775 0.975
5 Pr 0.678 0.556 0.357
6 Pr 0.343 0.884 0.686
7 Si 0.167 0.334 0.333
8 Si 0.833 0.666 0.667
9 I 0.166 0.834 0.332
10 I 0.500 0.500 0.000
11 I 0.834 0.166 0.668
12 Ge 0.500 0.000 0.000

The calculation puts the density of states at the Fermi level at 5.0 states/eV per cell. Its electronic total energy is -5.0478 eV per atom.

***

Record 2
DFT (PBE) results for a geometry-optimized Pr8SiGe3I4 structure.

Unit cell a=8.766 b=9.278 c=8.765 alpha=118.20 beta=120.00 gamma=90.00
Sites, in units of the cell vectors:
1 Pr 0.232 0.699 0.464
2 Pr 0.267 0.300 0.533
3 Pr 0.768 0.301 0.032
4 Pr 0.733 0.700 0.467
5 Pr 0.232 0.699 0.968
6 Pr 0.768 0.301 0.536
7 Pr 0.736 0.699 0.968
8 Pr 0.264 0.301 0.032
9 Ge 0.000 0.500 0.500
10 Ge 0.500 0.500 0.500
11 Ge 0.500 0.500 0.000
12 Si 0.000 0.500 0.000
13 I 0.500 0.000 0.500
14 I 0.000 0.000 0.000
15 I 0.500 0.000 0.000
16 I 0.000 0.000 0.500

The calculation puts the density of states at the Fermi level at 6.8 states/eV per cell. Its electronic total energy is -4.9984 eV per atom.

***

Record 3
DFT (PBE) results for a geometry-optimized Pr8SnGe3I4 structure.

Unit cell a=8.893 b=9.292 c=8.893 alpha=118.60 beta=120.00 gamma=90.00
Sites, in units of the cell vectors:
1 Ge 0.000 0.500 0.500
2 Ge 0.500 0.500 0.000
3 Ge 0.500 0.500 0.500
4 I 0.000 0.000 0.500
5 I 0.500 0.000 0.000
6 I 0.500 0.000 0.500
7 I 0.000 0.000 0.000
8 Pr 0.722 0.705 0.964
9 Pr 0.759 0.295 0.518
10 Pr 0.241 0.705 0.964
11 Pr 0.278 0.295 0.036
12 Pr 0.241 0.705 0.482
13 Pr 0.759 0.295 0.036
14 Pr 0.267 0.301 0.534
15 Pr 0.733 0.699 0.466
16 Sn 0.000 0.500 0.000

The calculation puts the density of states at the Fermi level at 7.2 states/eV per cell. Its electronic total energy is -4.8894 eV per atom.

***

Record 4
DFT (PBE) results for a geometry-optimized Pr4GeTe2I structure.

Unit cell a=4.453 b=7.958 c=7.738 alpha=108.75 beta=90.00 gamma=90.00
Sites, in units of the cell vectors:
1 I 0.500 0.500 0.000
2 Pr 0.000 0.219 0.753
3 Pr 0.500 0.781 0.772
4 Pr 0.500 0.219 0.228
5 Pr 0.000 0.781 0.247
6 Ge 0.000 0.000 0.000
7 Te 0.000 0.500 0.500
8 Te 0.500 0.000 0.500

The calculation puts the density of states at the Fermi level at 4.0 states/eV per cell. Its electronic total energy is -5.1636 eV per atom.